# VZn2Fe

Crystalline VZn2Fe at its relaxed geometry (GGA-PBE, the Alexandria database).

Cell lengths 6.8386, 6.8386, 5.4353 Å; angles 51.02, 51.02, 90.00 degrees
Closest atoms and distances in Å follow each position.
Element x y z (fractional)
Zn 0.1108 0.6250 0.2500  2 Fe 2.43, 2 Zn 2.49, 2 V 2.56
Zn 0.8750 0.8892 0.7500  2 Fe 2.43, 2 Zn 2.49, 2 V 2.56
Zn 0.6392 0.1250 0.2500  2 Fe 2.43, 2 Zn 2.49, 2 V 2.56
Zn 0.3750 0.3608 0.7500  2 Fe 2.43, 2 Zn 2.49, 2 V 2.56
Fe 0.0000 0.0000 0.0000  4 Zn 2.43, 2 V 2.48
Fe 0.7500 0.2500 0.5000  4 Zn 2.43, 2 V 2.48
V 0.2500 0.7500 0.5000  2 Fe 2.48, 4 Zn 2.56
V 0.5000 0.5000 0.0000  2 Fe 2.48, 4 Zn 2.56

Results
ΔH_f (0 K): 0.489 eV/atom
total magnetization: 1.178 μB per formula unit
offset from the most stable computed form: 533 meV/atom
energy: -36.35 eV/cell